K2HfZr: optimized geometry, PBE.

Geometry as CIF:
```
data_K2HfZr
_symmetry_space_group_name_H-M 'I -4 2 d'
_symmetry_Int_Tables_number 122
_symmetry_space_group_name_Hall 'I -4 2bw'
_cell_length_a 9.7390
_cell_length_b 9.7390
_cell_length_c 5.7446
_cell_angle_alpha 90.00
_cell_angle_beta 90.00
_cell_angle_gamma 90.00
loop_
_atom_site_label
_atom_site_type_symbol
_atom_site_fract_x
_atom_site_fract_y
_atom_site_fract_z
K1 K 0.2469 0.7500 0.1250
Hf1 Hf 0.0000 0.0000 0.5000
Zr1 Zr 0.0000 0.0000 0.0000
```

Computed properties:
Formation enthalpy at 0 K, eV per atom: 1.49
E above lowest polymorph, meV per atom: 0
Calculated volume, Å³/atom: 34.05
N(E_F), states/eV/atom: 1.25
ρ, g/cm³: 4.241